No. 1
{
  "formula": "Ge2BPF",
  "functional": "PBE",
  "state": "relaxed",
  "lattice_angstrom": [[4.622, 0.000, 0.000], [0.000, 3.928, 0.000], [0.000, 0.000, 4.622]],
  "species": ["Ge", "Ge", "B", "F", "P"],
  "frac_coords": [[0.500, 0.000, 0.000], [0.000, 0.000, 0.500], [0.000, 0.500, 0.000], [0.000, 0.000, 0.000], [0.500, 0.500, 0.500]],
  "dft_energy_ev_per_cell": -19.2,
  "de_polymorph_mev_per_atom": 691,
  "raw_formation_energy_mev_per_atom": 798,
  "space_group": "No. 123"
}

No. 2
{
  "formula": "Ge2BPF",
  "functional": "PBE",
  "state": "relaxed",
  "lattice_angstrom": [[4.352, 0.000, 0.000], [0.000, 3.543, 0.000], [0.000, 0.000, 4.352]],
  "species": ["F", "Ge", "Ge", "B", "P"],
  "frac_coords": [[0.000, 0.500, 0.000], [0.000, 0.000, 0.500], [0.500, 0.000, 0.000], [0.000, 0.000, 0.000], [0.500, 0.500, 0.500]],
  "dft_energy_ev_per_cell": -22.7,
  "de_polymorph_mev_per_atom": 0,
  "raw_formation_energy_mev_per_atom": 107,
  "space_group": "No. 123"
}